This record from Alexandria describes crystalline CuGeP2S at its relaxed geometry. The functional is PBE.

Output
- E_form (uncorrected): 0.763 eV per atom
- VASP energy: -3.969 eV/atom
- Spin magnetization: 0.020 μB per atom

Lattice parameters (Å, degrees): 4.4228 4.4228 4.8383 90.00 90.00 90.00
Positions (direct):
1 P 0.0000 0.5000 0.0000
2 P 0.5000 0.0000 0.0000
3 Ge 0.5000 0.5000 0.5000
4 S 0.0000 0.0000 0.5000
5 Cu 0.0000 0.0000 0.0000